Compound: KMnPdSe2
Source: Alexandria
Functional: GGA-PBE
Structure: optimized geometry

Cell: 4.584 5.830 4.584 Å, 90.00 90.00 90.00°
Fractional positions:
K 0.000 0.500 0.000
Mn 0.000 0.000 0.000
Se 0.000 0.000 0.500
Se 0.500 0.000 0.000
Pd 0.500 0.500 0.500

Calculated values
For the density of states at the Fermi level, the calculation gives 5.05 states/eV/cell. The calculation puts the uncorrected formation energy at 0.47 eV per atom. The mass density comes out at 4.86 g/cm³.